Entry 1:
DFT (meta-GGA SCAN) results for a PBEsol-optimized structure of Cu3SiN.

Values from the calculation:
Formation energy without anion corrections, meV per atom: 507
Crystal system: cubic

Cell and atoms, written as POSCAR:
```
Cu3SiN
1.0
3.8908 0.0000 0.0000
0.0000 3.8908 0.0000
0.0000 0.0000 3.8908
Cu Si N
3 1 1
Cartesian
0.0000 0.0000 1.9454
0.0000 1.9454 0.0000
1.9454 0.0000 0.0000
1.9454 1.9454 1.9454
0.0000 0.0000 0.0000
```


Entry 2:
DFT (meta-GGA SCAN) results for a PBEsol-optimized structure of CuSiTe2N.

Values from the calculation:
Formation energy without anion corrections, meV per atom: 919
Crystal system: tetragonal

Cell and atoms, written as POSCAR:
```
CuSiTe2N
1.0
5.2425 0.0000 0.0000
0.0000 5.2425 0.0000
0.0000 0.0000 3.5168
Cu Si Te N
1 1 2 1
Cartesian
0.0000 0.0000 0.0000
2.6213 2.6213 1.7584
0.0000 2.6213 0.0000
2.6213 0.0000 0.0000
0.0000 0.0000 1.7584
```


> Which of these has the highest formation energy without anion corrections?

CuSiTe2N